The following is a DFT calculation (meta-GGA SCAN) of a PBEsol-optimized structure of ZrAgW2.

abc: 3.901 3.901 4.485
angles: 90.00 90.00 90.00
Fractional positions:
Zr1 0.000 0.000 0.000
Ag1 0.500 0.500 0.000
W1 0.000 0.500 0.500
W2 0.500 0.000 0.500

Values from the calculation:
The space group is P4/mmm. For the offset from the most stable computed form, the calculation gives 0.0 meV/atom. The density of states at the Fermi level comes out at 2.99 states/eV/f.u. The volume comes out at 68.2 Å³ per cell. The calculation puts the energy of formation from the pure elements at 386 meV/atom. Its crystal system is tetragonal. The magnetic moment is 0.0 Bohr magnetons per cell.